VASP calculation (GGA-PBEsol) on a geometry-optimized Ga4Bi3As structure.

Calculated values
D(E_F) = 0.74 states/eV/cell
total magnetization = 0.000 μB/cell
energy relative to the elements = 0.007 eV per atom
V = 236 Å³/cell
space group = R3m, No. 160
final energy = -3.91 eV/atom

Cell lengths 14.5281, 14.5281, 14.5281 Å; angles 17.26, 17.26, 17.26 degrees
Fractional coordinates of all 8 atoms:
1 Ga 0.0000 0.0000 0.0000
2 Ga 0.2463 0.2463 0.2463
3 Ga 0.4927 0.4927 0.4927
4 Ga 0.7394 0.7394 0.7394
5 Bi 0.1826 0.1826 0.1826
6 Bi 0.4293 0.4293 0.4293
7 Bi 0.9358 0.9358 0.9358
8 As 0.6821 0.6821 0.6821

=====

VASP calculation (GGA-PBEsol) on a geometry-optimized Ca2Pd2Au structure.

Calculated values
D(E_F) = 3.89 states/eV/cell
total magnetization = 0.000 μB/cell
energy relative to the elements = -0.649 eV per atom
V = 206 Å³/cell
space group = P4/mbm, No. 127
final energy = -4.67 eV/atom

Cell lengths 7.1110, 7.1110, 4.0726 Å; angles 90.00, 90.00, 90.00 degrees
Fractional coordinates of all 10 atoms:
1 Ca 0.1744 0.3256 0.0000
2 Ca 0.3256 0.8256 0.0000
3 Ca 0.6744 0.1744 0.0000
4 Ca 0.8256 0.6744 0.0000
5 Pd 0.1329 0.6329 0.5000
6 Pd 0.3671 0.1329 0.5000
7 Pd 0.6329 0.8671 0.5000
8 Pd 0.8671 0.3671 0.5000
9 Au 0.0000 0.0000 0.5000
10 Au 0.5000 0.5000 0.5000

=====

VASP calculation (GGA-PBEsol) on a geometry-optimized NiSb2Ru structure.

Calculated values
D(E_F) = 2.78 states/eV/cell
total magnetization = 0.001 μB/cell
E above lowest polymorph = 0.0 meV per atom
V = 69 Å³/cell
uncorrected formation energy = 0.1255 eV/atom
space group = C2/m, No. 12
final energy = -6.24 eV/atom

Cell lengths 4.3326, 4.3326, 5.4072 Å; angles 101.20, 101.20, 43.69 degrees
Fractional coordinates of all 4 atoms:
1 Ni 0.0000 0.0000 0.0000
2 Sb 0.2468 0.2468 0.7513
3 Sb 0.7532 0.7532 0.2487
4 Ru 0.5000 0.5000 0.5000

=====

VASP calculation (GGA-PBEsol) on a geometry-optimized BaLaB12 structure.

Calculated values
D(E_F) = 1.21 states/eV/cell
total magnetization = 0.000 μB/cell
energy relative to the elements = -0.515 eV per atom
V = 147 Å³/cell
space group = P4/mmm, No. 123
final energy = -7.06 eV/atom

Cell lengths 4.1846, 4.1846, 8.3868 Å; angles 90.00, 90.00, 90.00 degrees
Fractional coordinates of all 14 atoms:
1 Ba 0.0000 0.0000 0.0000
2 La 0.0000 0.0000 0.5000
3 B 0.2018 0.5000 0.2542
4 B 0.2018 0.5000 0.7458
5 B 0.5000 0.2018 0.2542
6 B 0.5000 0.2018 0.7458
7 B 0.5000 0.5000 0.1034
8 B 0.5000 0.5000 0.4012
9 B 0.5000 0.5000 0.5988
10 B 0.5000 0.5000 0.8966
11 B 0.5000 0.7982 0.2542
12 B 0.5000 0.7982 0.7458
13 B 0.7982 0.5000 0.2542
14 B 0.7982 0.5000 0.7458

=====

VASP calculation (GGA-PBEsol) on a geometry-optimized Li3Cr structure.

Calculated values
D(E_F) = 1.86 states/eV/cell
total magnetization = 4.430 μB/cell
energy relative to the elements = 0.463 eV per atom
E above lowest polymorph = 0.0 meV per atom
V = 70 Å³/cell
space group = Pmm2, No. 25
final energy = -3.57 eV/atom

Cell lengths 2.9933, 4.7491, 4.9423 Å; angles 90.00, 90.00, 90.00 degrees
Fractional coordinates of all 4 atoms:
1 Li 0.0000 0.0000 0.0000
2 Li 0.0000 0.5000 0.3675
3 Li 0.5000 0.5000 0.8531
4 Cr 0.5000 0.0000 0.5015

=====

VASP calculation (GGA-PBEsol) on a geometry-optimized LaZr2FeRh structure.

Calculated values
D(E_F) = 5.39 states/eV/cell
total magnetization = 0.000 μB/cell
energy relative to the elements = 1.415 eV per atom
V = 105 Å³/cell
space group = P4/mmm, No. 123
final energy = -6.71 eV/atom

Cell lengths 4.9914, 4.9914, 4.1963 Å; angles 90.00, 90.00, 90.00 degrees
Fractional coordinates of all 5 atoms:
1 La 0.0000 0.0000 0.0000
2 Zr 0.0000 0.5000 0.0000
3 Zr 0.5000 0.0000 0.0000
4 Fe 0.0000 0.0000 0.5000
5 Rh 0.5000 0.5000 0.5000

=====

VASP calculation (GGA-PBEsol) on a geometry-optimized BaTe2Os structure.

Calculated values
D(E_F) = 2.18 states/eV/cell
total magnetization = 0.000 μB/cell
E above lowest polymorph = 0.0 meV per atom
V = 108 Å³/cell
uncorrected formation energy = -0.0573 eV/atom
space group = Imm2, No. 44
final energy = -5.41 eV/atom

Cell lengths 7.8588, 7.8588, 7.8588 Å; angles 153.10, 150.43, 40.40 degrees
Fractional coordinates of all 4 atoms:
1 Ba 0.0000 0.0000 0.0000
2 Te 0.3655 0.3655 0.0000
3 Te 0.6800 0.1800 0.5000
4 Os 0.2392 0.7392 0.5000

=====

VASP calculation (GGA-PBEsol) on a geometry-optimized Be2P2I structure.

Calculated values
D(E_F) = 4.58 states/eV/cell
total magnetization = 0.000 μB/cell
V = 166 Å³/cell
uncorrected formation energy = 0.4534 eV/atom
space group = P4/mbm, No. 127
final energy = -3.82 eV/atom

Cell lengths 7.1002, 7.1002, 3.2968 Å; angles 90.00, 90.00, 90.00 degrees
Fractional coordinates of all 10 atoms:
1 Be 0.1105 0.3895 0.0000
2 Be 0.3895 0.8895 0.0000
3 Be 0.6105 0.1105 0.0000
4 Be 0.8895 0.6105 0.0000
5 P 0.1155 0.6155 0.5000
6 P 0.3845 0.1155 0.5000
7 P 0.6155 0.8845 0.5000
8 P 0.8845 0.3845 0.5000
9 I 0.0000 0.0000 0.0000
10 I 0.5000 0.5000 0.0000

=====

Question: What is the total magnetization in the fourth record?
Answer: 0.000 μB/cell

=====

Copy entry 4 word for word.
VASP calculation (GGA-PBEsol) on a geometry-optimized BaLaB12 structure.

Calculated values
D(E_F) = 1.21 states/eV/cell
total magnetization = 0.000 μB/cell
energy relative to the elements = -0.515 eV per atom
V = 147 Å³/cell
space group = P4/mmm, No. 123
final energy = -7.06 eV/atom

Cell lengths 4.1846, 4.1846, 8.3868 Å; angles 90.00, 90.00, 90.00 degrees
Fractional coordinates of all 14 atoms:
1 Ba 0.0000 0.0000 0.0000
2 La 0.0000 0.0000 0.5000
3 B 0.2018 0.5000 0.2542
4 B 0.2018 0.5000 0.7458
5 B 0.5000 0.2018 0.2542
6 B 0.5000 0.2018 0.7458
7 B 0.5000 0.5000 0.1034
8 B 0.5000 0.5000 0.4012
9 B 0.5000 0.5000 0.5988
10 B 0.5000 0.5000 0.8966
11 B 0.5000 0.7982 0.2542
12 B 0.5000 0.7982 0.7458
13 B 0.7982 0.5000 0.2542
14 B 0.7982 0.5000 0.7458

=====

Question: Look up the final energy of the eighth one.
Answer: -3.82 eV/atom